First-principles (GGA-PBE) data for a geometry-optimized Li3SnHg structure, as listed in the Alexandria database.

abc: 4.9157 4.9157 4.9157
angles: 90.00 90.00 90.00
Closest atoms and distances in Å follow each position.
Fractional coordinates of all 5 atoms:
Li 0.0000 0.0000 0.5000  2 Hg 2.46
Li 0.0000 0.5000 0.0000  2 Hg 2.46
Li 0.5000 0.0000 0.0000  2 Hg 2.46
Sn 0.5000 0.5000 0.5000  12 Li 3.48
Hg 0.0000 0.0000 0.0000  6 Li 2.46

Properties
Uncorrected energy = -2.03 eV per atom